A plane-wave DFT calculation with GGA+U was carried out for crystalline ScMo3O at its relaxed geometry.

a = 5.382 Å, b = 5.382 Å, c = 5.382 Å
α = 90.00°, β = 90.00°, γ = 90.00°
Fractional positions:
Sc1 0.000 0.000 0.000
Mo1 0.000 0.000 0.500
Mo2 0.000 0.500 0.000
Mo3 0.500 0.000 0.000
O1 0.500 0.500 0.500

Output
* ΔE to the lowest computed polymorph: 2.116 eV per atom
* electronic total energy: -19.5 eV per formula unit
* symmetry: Pm-3m
* theoretical density: 3715 kg/m3